[1]
# Hf6CoNi

An optimized crystal structure of Hf6CoNi (PBE, Alexandria).

abc: 5.936 5.936 5.936
angles: 60.00 77.52 64.39
Fractional positions:
Co  0.500  0.500  0.000
Hf  0.748  0.748  0.000
Hf  0.748  0.446  0.613
Hf  0.748  0.059  0.387
Hf  0.252  0.941  0.613
Hf  0.252  0.252  0.000
Hf  0.252  0.554  0.387
Ni  0.000  0.000  0.000

Crystal system ... monoclinic
Energy of formation ... 0.122 eV per atom
VASP energy ... -71.63 eV per cell

***

[2]
# TlCrTe2N

An optimized crystal structure of TlCrTe2N (PBE, Alexandria).

abc: 5.750 5.750 3.552
angles: 90.00 90.00 90.00
Each line ends with the local moment (μB).
Fractional positions:
Cr  0.000  0.000  0.000  2.06
Te  0.000  0.500  0.000  -0.10
Tl  0.500  0.500  0.500  -0.02
Te  0.500  0.000  0.000  -0.10
N  0.000  0.000  0.500  -0.29

Crystal system ... tetragonal
ΔE_f (raw) ... 0.064 eV per atom
VASP energy ... -26.28 eV per cell

***

[3]
# Ac2CeGe4Rh3

An optimized crystal structure of Ac2CeGe4Rh3 (PBE, Alexandria).

abc: 4.390 4.390 11.395
angles: 90.00 90.00 90.00
Each line ends with the local moment (μB).
Fractional positions:
Rh  0.500  0.000  0.890  0.00
Ge  0.500  0.500  0.000  0.00
Rh  0.000  0.500  0.110  0.00
Rh  0.000  0.000  0.500  -0.02
Ac  0.500  0.000  0.227  0.00
Ge  0.000  0.000  0.000  0.00
Ge  0.500  0.000  0.670  0.00
Ce  0.500  0.500  0.500  0.14
Ac  0.000  0.500  0.773  0.00
Ge  0.000  0.500  0.330  0.00

Crystal system ... tetragonal
Energy of formation ... -0.747 eV per atom
VASP energy ... -62.15 eV per cell

***

[4]
# EuDyPb2

An optimized crystal structure of EuDyPb2 (PBE, Alexandria).

abc: 4.494 5.142 5.142
angles: 90.00 90.00 90.00
Each line ends with the local moment (μB).
Fractional positions:
Eu  0.500  0.500  0.500  6.85
Pb  0.000  0.500  0.000  -0.02
Pb  0.000  0.000  0.500  -0.02
Dy  0.500  0.000  0.000  0.17

Crystal system ... tetragonal
Energy of formation ... -0.454 eV per atom
VASP energy ... -24.11 eV per cell

***

[5]
# LaTb2Ce3Sb6

An optimized crystal structure of LaTb2Ce3Sb6 (PBE, Alexandria).

abc: 7.778 7.778 7.781
angles: 99.61 99.61 120.01
Each line ends with the local moment (μB).
Fractional positions:
Sb  0.084  0.424  0.250  -0.02
Ce  0.500  0.500  0.500  0.75
La  0.000  0.000  0.000  0.00
Sb  0.742  0.742  0.247  -0.02
Ce  0.836  0.164  0.500  0.75
Sb  0.916  0.576  0.750  -0.02
Tb  0.332  0.668  0.000  0.00
Sb  0.424  0.084  0.250  -0.02
Ce  0.164  0.836  0.500  0.75
Sb  0.258  0.258  0.753  -0.02
Sb  0.576  0.916  0.750  -0.02
Tb  0.668  0.332  0.000  0.00

Crystal system ... monoclinic
ΔE_f (raw) ... -1.114 eV per atom
VASP energy ... -70.09 eV per cell

***

[6]
# Ho4Sb2Pd

An optimized crystal structure of Ho4Sb2Pd (PBE, Alexandria).

abc: 4.268 7.279 8.118
angles: 117.78 105.24 90.00
Fractional positions:
Ho  0.886  0.204  0.771
Ho  0.114  0.796  0.229
Ho  0.383  0.742  0.765
Ho  0.617  0.258  0.235
Sb  0.265  0.264  0.530
Sb  0.735  0.736  0.470
Pd  0.000  0.000  0.000

Crystal system ... monoclinic
ΔE_f (raw) ... -0.700 eV per atom
VASP energy ... -36.65 eV per cell

***

[7]
# Ga3Cu

An optimized crystal structure of Ga3Cu (PBE, Alexandria).

abc: 2.863 6.153 7.814
angles: 90.00 90.00 103.46
Fractional positions:
Cu  0.706  0.412  0.250
Ga  0.353  0.706  0.067
Cu  0.294  0.588  0.750
Ga  0.353  0.706  0.433
Ga  0.647  0.294  0.567
Ga  0.027  0.053  0.250
Ga  0.647  0.294  0.933
Ga  0.973  0.947  0.750

Crystal system ... orthorhombic
Energy of formation ... 0.007 eV per atom
VASP energy ... -26.30 eV per cell

***

[8]
# BeWCl2

An optimized crystal structure of BeWCl2 (PBE, Alexandria).

abc: 3.083 3.083 7.897
angles: 90.00 90.00 90.00
Fractional positions:
W  0.000  0.000  0.569
Cl  0.000  0.000  0.876
Be  0.500  0.500  0.703
Cl  0.500  0.500  0.353

Crystal system ... tetragonal
ΔE_f (raw) ... 0.128 eV per atom
VASP energy ... -19.86 eV per cell

***

[9]
# CsGa3Os

An optimized crystal structure of CsGa3Os (PBE, Alexandria).

abc: 4.971 4.971 4.971
angles: 90.00 90.00 90.00
Fractional positions:
Os  0.000  0.000  0.000
Ga  0.000  0.500  0.000
Ga  0.500  0.000  0.000
Ga  0.000  0.000  0.500
Cs  0.500  0.500  0.500

Crystal system ... cubic
Energy of formation ... -0.180 eV per atom
VASP energy ... -22.06 eV per cell

***

[10]
# ErTm3Th4S8

An optimized crystal structure of ErTm3Th4S8 (PBE, Alexandria).

abc: 7.729 8.069 7.728
angles: 118.62 120.00 90.00
Fractional positions:
S  0.757  0.272  0.513
S  0.743  0.728  0.485
Tm  0.500  0.500  0.500
S  0.742  0.728  0.985
S  0.258  0.272  0.015
Tm  0.500  0.500  0.000
Tm  0.000  0.500  0.500
Er  0.000  0.500  0.000
S  0.757  0.272  0.015
S  0.257  0.272  0.515
Th  0.000  0.000  0.500
S  0.243  0.728  0.487
Th  0.500  0.000  0.500
Th  0.000  0.000  0.000
S  0.243  0.728  0.985
Th  0.500  0.000  0.000

Crystal system ... trigonal
ΔE_f (raw) ... -1.892 eV per atom
VASP energy ... -110.95 eV per cell

***

[11]
# K2Al3AgAu12

An optimized crystal structure of K2Al3AgAu12 (PBE, Alexandria).

abc: 8.270 8.270 8.270
angles: 66.75 66.75 66.75
Fractional positions:
Au  0.014  0.659  0.659
Au  0.986  0.341  0.341
Au  0.131  0.638  0.131
K  0.595  0.595  0.595
Au  0.869  0.869  0.362
K  0.405  0.405  0.405
Al  0.000  0.500  0.000
Au  0.869  0.362  0.869
Au  0.659  0.659  0.014
Au  0.341  0.341  0.986
Al  0.000  0.000  0.500
Au  0.638  0.131  0.131
Ag  0.000  0.000  0.000
Au  0.131  0.131  0.638
Au  0.659  0.014  0.659
Au  0.341  0.986  0.341
Au  0.362  0.869  0.869
Al  0.500  0.000  0.000

Crystal system ... trigonal
Energy of formation ... -0.057 eV per atom
VASP energy ... -56.64 eV per cell

***

[12]
# RbHfSbO6

An optimized crystal structure of RbHfSbO6 (PBE, Alexandria).

abc: 5.733 5.733 11.620
angles: 90.00 90.00 120.00
Each line ends with the local moment (μB).
Fractional positions:
O  0.010  0.593  0.344  0.28
O  0.010  0.418  0.156  0.28
O  0.593  0.010  0.844  0.28
O  0.407  0.418  0.344  0.28
Rb  0.000  0.000  0.500  0.01
O  0.990  0.407  0.656  0.28
O  0.582  0.990  0.344  0.28
Sb  0.667  0.333  0.750  -0.02
Sb  0.333  0.667  0.250  -0.02
Hf  0.333  0.667  0.750  -0.03
O  0.407  0.990  0.156  0.28
O  0.418  0.407  0.844  0.28
O  0.418  0.010  0.656  0.28
Rb  0.000  0.000  0.000  0.01
O  0.990  0.582  0.844  0.28
O  0.582  0.593  0.156  0.28
Hf  0.667  0.333  0.250  -0.03
O  0.593  0.582  0.656  0.28

Crystal system ... trigonal
ΔE_f (raw) ... -1.772 eV per atom
VASP energy ... -121.47 eV per cell